Entry 1:
First-principles (PBE-GGA) data for UNiH8Pt2 after structural relaxation, as listed in Alexandria via LeMat-Bulk.

Summary:
raw total energy = -4.68 eV per atom
calculated volume = 120.7 Å³/cell

a = 4.9020 Å, b = 4.9020 Å, c = 5.8010 Å
α = 90.00°, β = 90.00°, γ = 120.00°
Atoms (fractional coordinates):
1 H 0.1575 0.3151 0.8388
2 Pt 0.3333 0.6667 0.6440
3 H 0.3151 0.1575 0.1612
4 H 0.3333 0.6667 0.3657
5 H 0.8425 0.1575 0.1612
6 H 0.1575 0.8425 0.8388
7 H 0.6849 0.8425 0.8388
8 U 0.0000 0.0000 0.5000
9 Pt 0.6667 0.3333 0.3560
10 H 0.6667 0.3333 0.6343
11 H 0.8425 0.6849 0.1612
12 Ni 0.0000 0.0000 0.0000

Entry 2:
First-principles (PBE-GGA) data for Y2CdO2 after structural relaxation, as listed in Alexandria via LeMat-Bulk.

Summary:
calculated volume = 96.6 Å³/cell
raw formation energy = -12.03 eV/f.u.

a = 4.0184 Å, b = 4.0184 Å, c = 6.6231 Å
α = 72.34°, β = 72.34°, γ = 90.00°
Atoms (fractional coordinates):
1 O 0.2500 0.7500 0.5000
2 Y 0.3385 0.3385 0.3230
3 Y 0.6615 0.6615 0.6770
4 Cd 0.0000 0.0000 0.0000
5 O 0.7500 0.2500 0.5000

Entry 3:
First-principles (PBE-GGA) data for BiAsN2 after structural relaxation, as listed in Alexandria via LeMat-Bulk.

Summary:
energy above the most stable polymorph in this dataset = 0.0000 eV per atom
calculated volume = 60.0 Å³/cell
raw formation energy = 2.82 eV/f.u.

a = 7.2407 Å, b = 7.2407 Å, c = 7.2407 Å
α = 25.08°, β = 25.08°, γ = 25.08°
Atoms (fractional coordinates):
1 N 0.8811 0.8811 0.8811
2 Bi 0.0000 0.0000 0.0000
3 As 0.5000 0.5000 0.5000
4 N 0.1189 0.1189 0.1189

Entry 4:
First-principles (PBE-GGA) data for NaCd5In after structural relaxation, as listed in Alexandria via LeMat-Bulk.

Summary:
formation energy = 15 meV/atom
calculated volume = 183.1 Å³/cell

a = 6.0985 Å, b = 5.4193 Å, c = 6.2886 Å
α = 90.01°, β = 90.01°, γ = 118.24°
Atoms (fractional coordinates):
1 In 0.5000 0.5000 0.5000
2 Cd 0.5000 0.0000 0.2387
3 Cd 0.5000 0.0000 0.7613
4 Na 0.0000 0.0000 0.0000
5 Cd 0.0000 0.5000 0.7506
6 Cd 0.0000 0.5000 0.2494
7 Cd 0.0000 0.0000 0.5000